DFT (PBE) results for an optimized crystal structure of Pr2SiO5.

Properties
Calculated volume in Å³/atom: 14.49
DFT total energy in eV/atom: -8.21

Unit cell a=8.118 b=8.118 c=10.778 alpha=118.34 beta=118.34 gamma=50.02
Positions (direct):
1 Pr 0.212 0.714 0.541
2 Pr 0.219 0.495 0.172
3 Pr 0.286 0.788 0.959
4 Pr 0.495 0.219 0.672
5 Pr 0.505 0.781 0.328
6 Pr 0.714 0.212 0.041
7 Pr 0.781 0.505 0.828
8 Pr 0.788 0.286 0.459
9 Si 0.092 0.267 0.319
10 Si 0.267 0.092 0.819
11 Si 0.733 0.908 0.181
12 Si 0.908 0.733 0.681
13 O 0.065 0.121 0.667
14 O 0.121 0.065 0.167
15 O 0.146 0.232 0.954
16 O 0.172 0.418 0.339
17 O 0.175 0.592 0.693
18 O 0.232 0.146 0.454
19 O 0.387 0.575 0.101
20 O 0.408 0.825 0.807
21 O 0.418 0.172 0.839
22 O 0.425 0.613 0.399
23 O 0.575 0.387 0.601
24 O 0.582 0.828 0.161
25 O 0.592 0.175 0.193
26 O 0.613 0.425 0.899
27 O 0.768 0.854 0.546
28 O 0.825 0.408 0.307
29 O 0.828 0.582 0.661
30 O 0.854 0.768 0.046
31 O 0.879 0.935 0.833
32 O 0.935 0.879 0.333

DFT (PBE) results for an optimized crystal structure of NbB4Sb.

Properties
Calculated volume in Å³/atom: 10.62
DFT total energy in eV/atom: -6.58

Unit cell a=4.910 b=4.910 c=4.910 alpha=143.43 beta=112.08 gamma=79.69
Positions (direct):
1 Nb 0.000 0.000 0.000
2 B 0.082 0.748 0.335
3 B 0.413 0.748 0.665
4 B 0.587 0.252 0.335
5 B 0.918 0.252 0.665
6 Sb 0.500 0.500 0.000

DFT (PBE) results for an optimized crystal structure of CsLuZnTe3.

Properties
Calculated volume in Å³/atom: 35.82
DFT total energy in eV/atom: -3.65

Unit cell a=11.649 b=4.454 c=16.569 alpha=90.00 beta=90.00 gamma=90.00
Positions (direct):
1 Cs 0.037 0.250 0.171
2 Cs 0.463 0.750 0.671
3 Cs 0.537 0.250 0.329
4 Cs 0.963 0.750 0.829
5 Lu 0.160 0.750 0.439
6 Lu 0.340 0.250 0.939
7 Lu 0.660 0.750 0.061
8 Lu 0.840 0.250 0.561
9 Zn 0.164 0.250 0.636
10 Zn 0.336 0.750 0.136
11 Zn 0.664 0.250 0.864
12 Zn 0.836 0.750 0.364
13 Te 0.024 0.750 0.602
14 Te 0.196 0.750 0.010
15 Te 0.228 0.250 0.785
16 Te 0.272 0.750 0.285
17 Te 0.304 0.250 0.510
18 Te 0.476 0.250 0.102
19 Te 0.524 0.750 0.898
20 Te 0.696 0.750 0.490
21 Te 0.728 0.250 0.715
22 Te 0.772 0.750 0.215
23 Te 0.804 0.250 0.990
24 Te 0.976 0.250 0.398

DFT (PBE) results for an optimized crystal structure of YGaW.

Properties
Calculated volume in Å³/atom: 25.41
DFT total energy in eV/atom: -6.13

Unit cell a=4.759 b=4.759 c=4.759 alpha=60.00 beta=60.00 gamma=60.00
Positions (direct):
1 Y 0.000 0.000 0.000
2 Ga 0.750 0.750 0.750
3 W 0.250 0.250 0.250

DFT (PBE) results for an optimized crystal structure of BaNaPu.

Properties
Calculated volume in Å³/atom: 44.29
DFT total energy in eV/atom: -4.89

Unit cell a=5.728 b=5.728 c=5.728 alpha=60.00 beta=60.00 gamma=60.00
Positions (direct):
1 Ba 0.000 0.000 0.000
2 Na 0.750 0.750 0.750
3 Pu 0.250 0.250 0.250

DFT (PBE) results for an optimized crystal structure of Hf2Sc4Sn3N3.

Properties
Calculated volume in Å³/atom: 16.90
DFT total energy in eV/atom: -8.08

Unit cell a=5.710 b=5.710 c=14.739 alpha=101.21 beta=101.21 gamma=60.02
Positions (direct):
1 Hf 0.027 0.856 0.581
2 Hf 0.144 0.973 0.919
3 Hf 0.856 0.027 0.081
4 Hf 0.973 0.144 0.419
5 Sc 0.194 0.366 0.084
6 Sc 0.310 0.468 0.416
7 Sc 0.366 0.194 0.584
8 Sc 0.468 0.310 0.916
9 Sc 0.532 0.690 0.084
10 Sc 0.634 0.806 0.416
11 Sc 0.690 0.532 0.584
12 Sc 0.806 0.634 0.916
13 Sn 0.084 0.245 0.749
14 Sn 0.245 0.084 0.249
15 Sn 0.413 0.587 0.750
16 Sn 0.587 0.413 0.250
17 Sn 0.755 0.916 0.751
18 Sn 0.916 0.755 0.251
19 N 0.000 0.500 0.500
20 N 0.163 0.673 0.000
21 N 0.327 0.837 0.500
22 N 0.500 0.000 0.000
23 N 0.673 0.163 0.500
24 N 0.837 0.327 0.000

DFT (PBE) results for an optimized crystal structure of Dy5MgTl3.

Properties
Calculated volume in Å³/atom: 27.49
DFT total energy in eV/atom: -3.81

Unit cell a=9.284 b=9.284 c=6.629 alpha=90.00 beta=90.00 gamma=120.00
Positions (direct):
1 Dy 0.000 0.300 0.250
2 Dy 0.000 0.700 0.750
3 Dy 0.300 0.000 0.250
4 Dy 0.300 0.300 0.750
5 Dy 0.333 0.667 0.000
6 Dy 0.333 0.667 0.500
7 Dy 0.667 0.333 0.000
8 Dy 0.667 0.333 0.500
9 Dy 0.700 0.000 0.750
10 Dy 0.700 0.700 0.250
11 Mg 0.000 0.000 0.000
12 Mg 0.000 0.000 0.500
13 Tl 0.000 0.362 0.750
14 Tl 0.000 0.638 0.250
15 Tl 0.362 0.000 0.750
16 Tl 0.362 0.362 0.250
17 Tl 0.638 0.000 0.250
18 Tl 0.638 0.638 0.750

DFT (PBE) results for an optimized crystal structure of CdNiBAu.

Properties
Calculated volume in Å³/atom: 14.05
DFT total energy in eV/atom: -3.39

Unit cell a=4.299 b=4.299 c=4.299 alpha=60.00 beta=60.00 gamma=60.00
Positions (direct):
1 Cd 0.000 0.000 0.000
2 Ni 0.250 0.250 0.250
3 B 0.750 0.750 0.750
4 Au 0.500 0.500 0.500

DFT (PBE) results for an optimized crystal structure of TbZnNO.

Properties
Calculated volume in Å³/atom: 12.82
DFT total energy in eV/atom: -6.28

Unit cell a=3.399 b=3.399 c=4.438 alpha=90.00 beta=90.00 gamma=90.00
Positions (direct):
1 Tb 0.000 0.000 0.000
2 Zn 0.500 0.500 0.500
3 N 0.500 0.500 0.000
4 O 0.000 0.000 0.500

DFT (PBE) results for an optimized crystal structure of LaHoCd6.

Properties
Calculated volume in Å³/atom: 24.33
DFT total energy in eV/atom: -2.15

Unit cell a=4.895 b=6.580 c=6.580 alpha=66.71 beta=90.00 gamma=90.00
Positions (direct):
1 La 0.000 0.000 0.000
2 Ho 0.500 0.727 0.727
3 Cd 0.000 0.056 0.484
4 Cd 0.000 0.484 0.056
5 Cd 0.000 0.543 0.543
6 Cd 0.500 0.196 0.196
7 Cd 0.500 0.248 0.668
8 Cd 0.500 0.668 0.248

DFT (PBE) results for an optimized crystal structure of Al5W.

Properties
Calculated volume in Å³/atom: 15.75
DFT total energy in eV/atom: -5.09

Unit cell a=5.113 b=5.113 c=16.702 alpha=90.00 beta=90.00 gamma=120.00
Positions (direct):
1 Al 0.000 0.000 0.099
2 Al 0.000 0.000 0.401
3 Al 0.000 0.000 0.599
4 Al 0.000 0.000 0.901
5 Al 0.000 0.500 0.000
6 Al 0.000 0.500 0.500
7 Al 0.162 0.324 0.250
8 Al 0.162 0.838 0.250
9 Al 0.324 0.162 0.750
10 Al 0.333 0.667 0.127
11 Al 0.333 0.667 0.373
12 Al 0.500 0.000 0.000
13 Al 0.500 0.000 0.500
14 Al 0.500 0.500 0.000
15 Al 0.500 0.500 0.500
16 Al 0.667 0.333 0.627
17 Al 0.667 0.333 0.873
18 Al 0.676 0.838 0.250
19 Al 0.838 0.162 0.750
20 Al 0.838 0.676 0.750
21 W 0.333 0.667 0.639
22 W 0.333 0.667 0.861
23 W 0.667 0.333 0.139
24 W 0.667 0.333 0.361

DFT (PBE) results for an optimized crystal structure of Cu2SnSe3.

Properties
Calculated volume in Å³/atom: 23.79
DFT total energy in eV/atom: -3.94

Unit cell a=7.038 b=7.038 c=7.062 alpha=99.66 beta=99.66 gamma=119.98
Positions (direct):
1 Cu 0.082 0.918 0.500
2 Cu 0.268 0.769 0.003
3 Cu 0.769 0.268 0.503
4 Cu 0.918 0.082 0.000
5 Sn 0.434 0.618 0.517
6 Sn 0.618 0.434 0.017
7 Se 0.001 0.831 0.138
8 Se 0.119 0.643 0.640
9 Se 0.279 0.464 0.115
10 Se 0.464 0.279 0.615
11 Se 0.643 0.119 0.140
12 Se 0.831 0.001 0.638

DFT (PBE) results for an optimized crystal structure of BaAgTe.

Properties
Calculated volume in Å³/atom: 34.68
DFT total energy in eV/atom: -3.31

Unit cell a=5.279 b=5.279 c=5.279 alpha=60.00 beta=60.00 gamma=60.00
Positions (direct):
1 Ba 0.000 0.000 0.000
2 Ag 0.250 0.250 0.250
3 Te 0.500 0.500 0.500

DFT (PBE) results for an optimized crystal structure of YZn2Cu.

Properties
Calculated volume in Å³/atom: 17.16
DFT total energy in eV/atom: -3.44

Unit cell a=4.596 b=4.596 c=4.596 alpha=60.00 beta=60.00 gamma=60.00
Positions (direct):
1 Y 0.000 0.000 0.000
2 Zn 0.250 0.250 0.250
3 Zn 0.500 0.500 0.500
4 Cu 0.750 0.750 0.750

DFT (PBE) results for an optimized crystal structure of Cs2NaLi2ReO6.

Properties
Calculated volume in Å³/atom: 16.20
DFT total energy in eV/atom: -5.74

Unit cell a=7.057 b=7.057 c=6.128 alpha=98.06 beta=98.06 gamma=136.53
Positions (direct):
1 Cs 0.168 0.832 0.000
2 Cs 0.832 0.168 0.000
3 Na 0.500 0.500 0.000
4 Li 0.409 0.591 0.500
5 Li 0.591 0.409 0.500
6 Re 0.000 0.000 0.500
7 O 0.147 0.352 0.681
8 O 0.202 0.202 0.294
9 O 0.352 0.147 0.681
10 O 0.648 0.853 0.319
11 O 0.798 0.798 0.706
12 O 0.853 0.648 0.319

DFT (PBE) results for an optimized crystal structure of Cd2GaCu.

Properties
Calculated volume in Å³/atom: 18.48
DFT total energy in eV/atom: -1.97

Unit cell a=4.711 b=4.711 c=4.711 alpha=60.00 beta=60.00 gamma=60.00
Positions (direct):
1 Cd 0.000 0.000 0.000
2 Cd 0.250 0.250 0.250
3 Ga 0.500 0.500 0.500
4 Cu 0.750 0.750 0.750

DFT (PBE) results for an optimized crystal structure of DyAg.

Properties
Calculated volume in Å³/atom: 24.31
DFT total energy in eV/atom: -3.78

Unit cell a=3.422 b=3.422 c=4.793 alpha=90.00 beta=90.00 gamma=120.00
Positions (direct):
1 Dy 0.000 0.000 0.000
2 Ag 0.333 0.667 0.500

DFT (PBE) results for an optimized crystal structure of RbHo4W.

Properties
Calculated volume in Å³/atom: 42.63
DFT total energy in eV/atom: -4.47

Unit cell a=8.365 b=8.365 c=3.666 alpha=90.00 beta=90.00 gamma=94.22
Positions (direct):
1 Rb 0.000 0.000 0.000
2 Ho 0.286 0.714 0.500
3 Ho 0.315 0.315 0.000
4 Ho 0.685 0.685 0.000
5 Ho 0.714 0.286 0.500
6 W 0.500 0.500 0.500

DFT (PBE) results for an optimized crystal structure of ZnCuAsW.

Properties
Calculated volume in Å³/atom: 14.71
DFT total energy in eV/atom: -5.16

Unit cell a=4.365 b=4.365 c=4.365 alpha=60.00 beta=60.00 gamma=60.00
Positions (direct):
1 Zn 0.000 0.000 0.000
2 Cu 0.750 0.750 0.750
3 As 0.500 0.500 0.500
4 W 0.250 0.250 0.250

DFT (PBE) results for an optimized crystal structure of LaGdSn.

Properties
Calculated volume in Å³/atom: 31.14
DFT total energy in eV/atom: -5.04

Unit cell a=5.344 b=5.344 c=15.107 alpha=90.00 beta=90.00 gamma=120.00
Positions (direct):
1 La 0.000 0.000 0.000
2 La 0.000 0.000 0.250
3 La 0.000 0.000 0.500
4 La 0.000 0.000 0.750
5 Gd 0.333 0.667 0.108
6 Gd 0.333 0.667 0.392
7 Gd 0.667 0.333 0.608
8 Gd 0.667 0.333 0.892
9 Sn 0.333 0.667 0.617
10 Sn 0.333 0.667 0.883
11 Sn 0.667 0.333 0.117
12 Sn 0.667 0.333 0.383

DFT (PBE) results for an optimized crystal structure of NaBiTeW.

Properties
Calculated volume in Å³/atom: 22.33
DFT total energy in eV/atom: -4.86

Unit cell a=5.017 b=5.017 c=5.017 alpha=60.00 beta=60.00 gamma=60.00
Positions (direct):
1 Na 0.000 0.000 0.000
2 Bi 0.750 0.750 0.750
3 Te 0.250 0.250 0.250
4 W 0.500 0.500 0.500

DFT (PBE) results for an optimized crystal structure of LuCuPdPb.

Properties
Calculated volume in Å³/atom: 19.81
DFT total energy in eV/atom: -4.55

Unit cell a=4.821 b=4.821 c=4.821 alpha=60.00 beta=60.00 gamma=60.00
Positions (direct):
1 Lu 0.000 0.000 0.000
2 Cu 0.500 0.500 0.500
3 Pd 0.750 0.750 0.750
4 Pb 0.250 0.250 0.250